VASP calculation (PBE-GGA) on an optimized crystal structure of LiFeS.

Cell: 3.6635 3.6635 5.6867 Å, 90.00 90.00 90.00°
Last column: nearest neighbours and their distance in Å.
Space group P4/nmm (No. 129, origin choice 2)
Inequivalent atoms, fractional coordinates:
Li: 0.2500 0.2500 0.1541 x2  5 S 2.48-2.69, 4 Fe 2.69
Fe: 0.2500 0.7500 0.5000 x2  4 S 2.21
S: 0.2500 0.2500 0.7185 x2  4 Fe 2.21, 1 Li 2.48

Properties
Volume (Å³/f.u.): 38.2
Total energy (eV per atom): -5.450
N(E_F) (states/eV per atom): 0.601
Mass density (Mg/m³): 4.1